! In2TcAgSb (GGA-PBEsol, relaxed); values from VASP
&SYSTEM
  ibrav = 0, nat = 5, ntyp = 4
/
ATOMIC_SPECIES
Sb 121.76 Sb.upf
Tc 98.00 Tc.upf
Ag 107.87 Ag.upf
In 114.82 In.upf
CELL_PARAMETERS angstrom
-2.638 0.996 -4.083
-4.664 -1.255 2.707
-0.490 5.277 1.603
ATOMIC_POSITIONS crystal
Sb 0.000 0.000 0.000
Tc 0.500 0.000 0.000
Ag 0.500 0.500 0.500
In 0.000 0.000 0.500
In 0.000 0.500 0.000
! E_tot: -3.71 eV/atom
! Symmetry: P4/mmm

! LiY2Sc (GGA-PBEsol, relaxed); values from VASP
&SYSTEM
  ibrav = 0, nat = 4, ntyp = 3
/
ATOMIC_SPECIES
Y 88.91 Y.upf
Sc 44.96 Sc.upf
Li 6.94 Li.upf
CELL_PARAMETERS angstrom
3.497 0.000 0.000
0.000 3.497 0.000
0.000 0.000 8.441
ATOMIC_POSITIONS crystal
Y 0.000 0.000 0.984
Y 0.500 0.500 0.280
Sc 0.500 0.500 0.717
Li 0.000 0.000 0.519
! Symmetry: P4mm
! E above lowest polymorph: 0.020 eV per atom
! E_form: 0.105 eV/atom

! Sc2P7Ru12 (GGA-PBEsol, relaxed); values from VASP
&SYSTEM
  ibrav = 0, nat = 21, ntyp = 3
/
ATOMIC_SPECIES
Sc 44.96 Sc.upf
P 30.97 P.upf
Ru 101.07 Ru.upf
CELL_PARAMETERS angstrom
-0.754 -3.241 1.932
6.170 2.416 6.460
-8.848 2.570 0.861
ATOMIC_POSITIONS crystal
Sc 0.500 0.333 0.667
Sc 0.000 0.667 0.333
P 0.500 0.403 0.120
P 0.000 0.000 0.000
P 0.500 0.716 0.597
P 0.500 0.880 0.284
P 0.000 0.119 0.692
P 0.000 0.574 0.881
P 0.000 0.308 0.426
Ru 0.500 0.444 0.391
Ru 0.500 0.609 0.053
Ru 0.500 0.088 0.209
Ru 0.500 0.791 0.879
Ru 0.500 0.121 0.912
Ru 0.000 0.274 0.164
Ru 0.000 0.890 0.726
Ru 0.000 0.836 0.110
Ru 0.000 0.573 0.640
Ru 0.000 0.067 0.427
Ru 0.000 0.360 0.933
Ru 0.500 0.947 0.556
! Symmetry: P-6
! E_form: -0.758 eV/atom

! Tc2TeOsSe (GGA-PBEsol, relaxed); values from VASP
&SYSTEM
  ibrav = 0, nat = 5, ntyp = 4
/
ATOMIC_SPECIES
Te 127.60 Te.upf
Os 190.23 Os.upf
Tc 98.00 Tc.upf
Se 78.96 Se.upf
CELL_PARAMETERS angstrom
4.774 0.000 0.000
0.000 4.807 0.000
0.000 0.000 4.807
ATOMIC_POSITIONS crystal
Te 0.000 0.000 0.000
Os 0.500 0.000 0.000
Tc 0.000 0.000 0.500
Tc 0.000 0.500 0.000
Se 0.500 0.500 0.500
! E_tot: -6.19 eV/atom
! Symmetry: P4/mmm

! ScBiB2Os (GGA-PBEsol, relaxed); values from VASP
&SYSTEM
  ibrav = 0, nat = 5, ntyp = 4
/
ATOMIC_SPECIES
Sc 44.96 Sc.upf
B 10.81 B.upf
Os 190.23 Os.upf
Bi 208.98 Bi.upf
CELL_PARAMETERS angstrom
-3.779 -1.664 -0.401
0.540 -2.081 3.549
-2.027 3.968 2.635
ATOMIC_POSITIONS crystal
Sc 0.000 0.000 0.500
B 0.000 0.500 0.000
B 0.500 0.000 0.000
Os 0.000 0.000 0.000
Bi 0.500 0.500 0.500
! Symmetry: P4/mmm
! E_form: 0.533 eV/atom

! Sc2Al3Ru (GGA-PBEsol, relaxed); values from VASP
&SYSTEM
  ibrav = 0, nat = 12, ntyp = 3
/
ATOMIC_SPECIES
Sc 44.96 Sc.upf
Ru 101.07 Ru.upf
Al 26.98 Al.upf
CELL_PARAMETERS angstrom
5.254 0.000 0.000
-2.627 4.550 0.000
0.000 0.000 8.467
ATOMIC_POSITIONS crystal
Sc 0.667 0.333 0.945
Sc 0.333 0.667 0.445
Sc 0.333 0.667 0.055
Sc 0.667 0.333 0.555
Ru 0.000 0.000 0.000
Ru 0.000 0.000 0.500
Al 0.165 0.835 0.750
Al 0.670 0.835 0.750
Al 0.165 0.330 0.750
Al 0.835 0.165 0.250
Al 0.330 0.165 0.250
Al 0.835 0.670 0.250
! Symmetry: P6_3/mmc
! E_form: -0.629 eV/atom

! LaScOs2 (GGA-PBEsol, relaxed); values from VASP
&SYSTEM
  ibrav = 0, nat = 4, ntyp = 3
/
ATOMIC_SPECIES
La 138.91 La.upf
Os 190.23 Os.upf
Sc 44.96 Sc.upf
CELL_PARAMETERS angstrom
-0.053 -3.114 0.173
4.705 -0.037 0.772
-3.160 1.873 4.624
ATOMIC_POSITIONS crystal
La 0.266 0.766 0.531
Os 0.024 0.024 0.049
Os 0.725 0.225 0.449
Sc 0.485 0.485 0.971
! Symmetry: Imm2
! E above lowest polymorph: 0.000 eV per atom
! E_form: 0.126 eV/atom

! ReN2 (GGA-PBEsol, relaxed); values from VASP
&SYSTEM
  ibrav = 0, nat = 12, ntyp = 2
/
ATOMIC_SPECIES
Re 186.21 Re.upf
N 14.01 N.upf
CELL_PARAMETERS angstrom
-2.812 -0.265 -0.131
-0.094 -0.976 4.005
-0.970 9.199 2.220
ATOMIC_POSITIONS crystal
Re 0.750 0.400 0.609
Re 0.750 0.100 0.109
Re 0.250 0.600 0.391
Re 0.250 0.900 0.891
N 0.250 0.043 0.674
N 0.250 0.457 0.174
N 0.750 0.957 0.326
N 0.750 0.543 0.826
N 0.250 0.761 0.595
N 0.250 0.739 0.095
N 0.750 0.239 0.405
N 0.750 0.261 0.905
! E_tot: -10.10 eV/atom
! Symmetry: Pnma

Listing M_tot for the structures above in their given order: 0.480 0.001 0.000 0.527 0.000 0.000 0.000 0.000 μB/atom.
Listing density of states at the Fermi level for the structures above in their given order: 3.957 5.613 12.248 7.540 1.978 7.770 1.974 2.815 states/eV per cell.